# PBE Li6Ir2Pt, relaxed
data_Li6Ir2Pt
_chemical_formula_sum 'Li12 Ir4 Pt2'
_cell_length_a 12.9028
_cell_length_b 7.4521
_cell_length_c 2.5300
_cell_angle_alpha 90.00
_cell_angle_beta 90.10
_cell_angle_gamma 90.00
_space_group_name_H-M_alt 'C 1 2/m 1'
_space_group_IT_number 12
_space_group_name_Hall '-C 2y'
loop_
_atom_site_label
_atom_site_type_symbol
_atom_site_fract_x
_atom_site_fract_y
_atom_site_fract_z
_atom_site_occupancy
Li1 Li 0.0000 0.1648 0.0000 1
Li2 Li 0.1676 0.3325 0.0014 1
Ir1 Ir 0.1667 0.0000 0.5000 1
Pt1 Pt 0.0000 0.5000 0.5000 1
# Formation enthalpy at 0 K: -0.308 eV per atom
# Total magnetic moment: 0.00 μB per atom
# DFT total energy: -4.2238 eV per atom